DFT (GGA-PBE) results for a geometry-optimized Th2TiCo4Ge3 structure.

a b c (Å): 4.0758 4.0758 10.0143
angles (deg): 90.00 90.00 90.00
Last column: nearest neighbours and their distance in Å.
Fractional positions:
Th  0.0000  0.5000  0.2452  8 Co 3.11-3.19, 6 Ge 3.12-3.27, 2 Ti 3.27
Th  0.5000  0.0000  0.7548  8 Co 3.11-3.19, 6 Ge 3.12-3.27, 2 Ti 3.27
Ti  0.0000  0.0000  0.5000  4 Co 2.46
Co  0.0000  0.0000  0.0000  4 Ge 2.39
Co  0.0000  0.5000  0.6376  3 Ge 2.38-2.46, 2 Ti 2.46
Co  0.5000  0.0000  0.3624  3 Ge 2.38-2.46, 2 Ti 2.46
Co  0.5000  0.5000  0.0000  4 Ge 2.39
Ge  0.0000  0.5000  0.8753  5 Co 2.38-2.39
Ge  0.5000  0.0000  0.1247  5 Co 2.38-2.39
Ge  0.5000  0.5000  0.5000  4 Co 2.46

For the formation energy, the calculation gives -5.91 eV/f.u. As for the final energy: -70.92 eV/f.u.